(1)
Crystalline IrOs at its relaxed geometry. Source: Alexandria via LeMat-Bulk, functional PBE-GGA.

Symmetry   P6_3mc
Crystal system   hexagonal

a b c (Å): 3.915 3.915 6.485
angles (deg): 90.00 90.00 120.00
Fractional coordinates of all 4 atoms:
Os  0.667  0.333  0.854
Ir  0.667  0.333  0.228
Os  0.333  0.667  0.354
Ir  0.333  0.667  0.728


(2)
Crystalline Ir2Os at its relaxed geometry. Source: Alexandria via LeMat-Bulk, functional PBE-GGA.

Symmetry   P-62m
Crystal system   hexagonal

a b c (Å): 7.456 7.456 2.740
angles (deg): 90.00 90.00 120.00
Fractional coordinates of all 9 atoms:
Ir  0.633  0.000  0.500
Ir  0.367  0.367  0.500
Ir  0.298  0.000  0.000
Ir  0.702  0.702  0.000
Os  0.000  0.000  0.500
Ir  0.000  0.633  0.500
Ir  0.000  0.298  0.000
Os  0.667  0.333  0.000
Os  0.333  0.667  0.000


(3)
Crystalline IrOs5 at its relaxed geometry. Source: Alexandria via LeMat-Bulk, functional PBE-GGA.

Symmetry   Amm2
Crystal system   orthorhombic

a b c (Å): 2.756 7.291 4.354
angles (deg): 90.00 90.00 79.11
Fractional coordinates of all 6 atoms:
Os  0.888  0.224  0.500
Ir  0.000  0.999  0.000
Os  0.556  0.888  0.500
Os  0.668  0.663  0.000
Os  0.332  0.337  0.000
Os  0.222  0.556  0.500


Ordered DFT formation energy results: 1129; 128; -3; unit meV/atom.